SCAN AgH14C3S3N6ClO, PBEsol geometry; calculated volume = 647 Å³/cell; E_tot = -440.0 eV for the cell shown; space group = P-1 (2); density of states at the Fermi level = 0.00 states/eV per atom
1.0
6.0973 0.1038 -0.0126
-1.8784 9.6321 -0.0010
-0.4189 -2.1510 10.9784
N H C Ag Cl S O
12 28 6 2 2 6 2
direct
0.3348 0.1837 0.8878
0.6392 0.0928 0.3522
0.3608 0.9072 0.6478
0.9533 0.7597 0.8288
0.8955 0.6738 0.1681
0.2939 0.7966 0.4464
0.1045 0.3262 0.8319
0.6652 0.8163 0.1122
0.2832 0.6846 0.8601
0.7168 0.3154 0.1399
0.0467 0.2403 0.1712
0.7061 0.2034 0.5536
0.1443 0.0867 0.3941
0.8155 0.7580 0.7723
0.0922 0.9716 0.2758
0.3095 0.7524 0.9427
0.6178 0.3905 0.1600
0.9706 0.2607 0.8571
0.0073 0.1631 0.0944
0.9261 0.5981 0.2165
0.4475 0.9165 0.7297
0.6905 0.2476 0.0573
0.9927 0.8369 0.9056
0.0739 0.4019 0.7835
0.6598 0.2705 0.6262
0.4871 0.1519 0.8887
0.2247 0.9577 0.6437
0.3402 0.7295 0.3738
0.8000 0.8784 0.0851
0.5129 0.8481 0.1113
0.9078 0.0284 0.7242
0.1882 0.8637 0.4276
0.7753 0.0423 0.3563
0.2000 0.1216 0.9149
0.8557 0.9133 0.6059
0.3822 0.6095 0.8400
0.0294 0.7393 0.1429
0.1845 0.2420 0.2277
0.5525 0.0835 0.2703
0.8118 0.1363 0.5724
0.3079 0.2957 0.8401
0.0936 0.6733 0.7918
0.6921 0.7043 0.1599
0.5963 0.1867 0.4459
0.4037 0.8133 0.5541
0.9064 0.3267 0.2082
0.6286 0.5360 0.3935
0.3714 0.4640 0.6065
0.7851 0.0592 0.9046
0.2149 0.9408 0.0954
0.9770 0.4480 0.3412
0.6105 0.7167 0.5769
0.3895 0.2833 0.4231
0.5377 0.3991 0.7966
0.4623 0.6009 0.2034
0.0230 0.5520 0.6588
0.9501 0.0080 0.6387
0.0499 0.9920 0.3613